# 1
Density functional theory data (PBE) for crystalline Ac6IrPdAu2 at its relaxed geometry.

a = 7.842 Å, b = 7.840 Å, c = 8.338 Å
α = 61.94°, β = 61.93°, γ = 60.01°
Sites, in units of the cell vectors:
Pd: 0.826 0.826 0.521
Ac: 0.435 0.707 0.763
Ac: 0.217 0.946 0.254
Ac: 0.094 0.436 0.763
Ac: 0.707 0.095 0.763
Ac: 0.947 0.583 0.254
Ac: 0.583 0.216 0.254
Au: 0.012 0.013 0.962
Au: 0.514 0.514 0.458
Ir: 0.326 0.326 0.021

Properties
* crystal system: trigonal
* energy relative to the elements: -0.61 eV/atom
* total energy: -51.4 eV for the cell shown

---

# 2
Density functional theory data (PBE) for crystalline Tb7Pr3Tm at its relaxed geometry.

a = 6.419 Å, b = 7.731 Å, c = 7.733 Å
α = 82.07°, β = 86.85°, γ = 86.87°
Sites, in units of the cell vectors:
Pr: 0.000 0.825 0.175
Pr: 0.500 0.000 0.000
Pr: 0.000 0.175 0.825
Tb: 0.000 0.500 0.500
Tb: 0.737 0.570 0.908
Tb: 0.788 0.242 0.242
Tb: 0.263 0.430 0.092
Tb: 0.263 0.092 0.430
Tb: 0.737 0.908 0.570
Tb: 0.212 0.758 0.758
Tm: 0.500 0.500 0.500

Properties
* crystal system: monoclinic
* energy relative to the elements: 0.24 eV/atom
* relative energy among the computed polymorphs: 0.73 eV per formula unit
* total energy: -48.6 eV for the cell shown

---

# 3
Density functional theory data (PBE) for crystalline AlOs at its relaxed geometry.

a = 4.328 Å, b = 4.328 Å, c = 10.806 Å
α = 90.00°, β = 90.00°, γ = 120.00°
Sites, in units of the cell vectors:
Os: 0.667 0.333 0.571
Os: 0.000 0.000 0.868
Os: 0.667 0.333 0.807
Os: 0.000 0.000 0.132
Os: 0.333 0.667 0.193
Os: 0.333 0.667 0.429
Al: 0.667 0.333 0.315
Al: 0.333 0.667 0.944
Al: 0.667 0.333 0.056
Al: 0.333 0.667 0.685
Al: 0.000 0.000 0.379
Al: 0.000 0.000 0.621

Properties
* crystal system: trigonal
* energy relative to the elements: 0.03 eV/atom
* total energy: -89.5 eV for the cell shown

---

# 4
Density functional theory data (PBE) for crystalline InFeNiPt at its relaxed geometry.

a = 4.406 Å, b = 4.406 Å, c = 4.406 Å
α = 60.00°, β = 60.00°, γ = 60.00°
Last column: magnetic moment on the atom in μB.
Sites, in units of the cell vectors:
Fe: 0.000 0.000 0.000  3.06
In: 0.500 0.500 0.500  -0.02
Ni: 0.250 0.250 0.250  0.23
Pt: 0.750 0.750 0.750  0.13

Properties
* crystal system: cubic
* energy relative to the elements: -0.09 eV/atom
* total energy: -23.4 eV for the cell shown

---

# 5
Density functional theory data (PBE) for crystalline CsSb2TeF at its relaxed geometry.

a = 5.085 Å, b = 5.085 Å, c = 5.764 Å
α = 90.00°, β = 90.00°, γ = 90.00°
Sites, in units of the cell vectors:
Cs: 0.500 0.500 0.500
Sb: 0.500 0.000 0.000
Sb: 0.000 0.500 0.000
Te: 0.000 0.000 0.500
F: 0.000 0.000 0.000

Properties
* crystal system: tetragonal
* relative energy among the computed polymorphs: 0.00 eV per formula unit
* formation energy from raw total energies: -0.30 eV per atom
* total energy: -15.6 eV for the cell shown

---

# 6
Density functional theory data (PBE) for crystalline Cs2LiPO4 at its relaxed geometry.

a = 4.842 Å, b = 6.575 Å, c = 11.048 Å
α = 85.37°, β = 77.34°, γ = 68.39°
Sites, in units of the cell vectors:
P: 0.500 0.000 0.000
P: 0.250 0.500 0.500
O: 0.942 0.647 0.581
O: 0.580 0.147 0.081
O: 0.412 0.647 0.419
O: 0.338 0.853 0.081
O: 0.273 0.147 0.919
O: 0.808 0.853 0.919
O: 0.170 0.353 0.419
O: 0.477 0.353 0.581
Cs: 0.922 0.500 0.156
Cs: 0.172 0.000 0.656
Cs: 0.828 0.000 0.344
Cs: 0.578 0.500 0.844
Li: 0.000 0.000 0.000
Li: 0.750 0.500 0.500

Properties
* crystal system: orthorhombic
* formation energy from raw total energies: -2.20 eV per atom
* total energy: -93.0 eV for the cell shown

---

# 7
Density functional theory data (PBE) for crystalline NaCoPdCl2 at its relaxed geometry.

a = 4.500 Å, b = 5.418 Å, c = 4.500 Å
α = 90.00°, β = 90.00°, γ = 90.00°
Last column: magnetic moment on the atom in μB.
Sites, in units of the cell vectors:
Cl: 0.000 0.000 0.500  0.04
Cl: 0.500 0.000 0.000  0.06
Co: 0.000 0.000 0.000  1.56
Pd: 0.500 0.500 0.500  -0.01
Na: 0.000 0.500 0.000  -0.01

Properties
* crystal system: tetragonal
* formation energy from raw total energies: 0.14 eV per atom
* total energy: -16.6 eV for the cell shown

---

# 8
Density functional theory data (PBE) for crystalline TiRe3H at its relaxed geometry.

a = 3.981 Å, b = 3.981 Å, c = 3.981 Å
α = 90.00°, β = 90.00°, γ = 90.00°
Sites, in units of the cell vectors:
Ti: 0.500 0.500 0.500
Re: 0.500 0.000 0.000
Re: 0.000 0.000 0.500
Re: 0.000 0.500 0.000
H: 0.000 0.000 0.000

Properties
* crystal system: cubic
* total energy: -48.1 eV for the cell shown

---

# 9
Density functional theory data (PBE) for crystalline Re3Pb at its relaxed geometry.

a = 5.536 Å, b = 5.536 Å, c = 5.536 Å
α = 148.78°, β = 128.51°, γ = 61.46°
Sites, in units of the cell vectors:
Pb: 0.030 0.000 0.030
Re: 0.424 0.776 0.648
Re: 0.873 0.224 0.648
Re: 0.507 0.500 0.007

Properties
* crystal system: orthorhombic
* energy relative to the elements: 0.82 eV/atom
* relative energy among the computed polymorphs: 0.76 eV per formula unit
* total energy: -37.8 eV for the cell shown

---

# 10
Density functional theory data (PBE) for crystalline CeNdS3 at its relaxed geometry.

a = 4.035 Å, b = 7.516 Å, c = 15.568 Å
α = 90.00°, β = 90.00°, γ = 90.00°
Last column: magnetic moment on the atom in μB.
Sites, in units of the cell vectors:
Ce: 0.750 0.239 0.458  0.80
Ce: 0.750 0.739 0.042  0.80
Ce: 0.250 0.261 0.958  0.80
Ce: 0.250 0.761 0.542  0.80
S: 0.250 0.651 0.719  -0.01
S: 0.750 0.627 0.432  -0.02
S: 0.250 0.010 0.394  -0.02
S: 0.750 0.349 0.281  -0.01
S: 0.750 0.490 0.894  -0.02
S: 0.250 0.151 0.781  -0.01
S: 0.750 0.127 0.068  -0.02
S: 0.750 0.990 0.606  -0.02
S: 0.750 0.849 0.219  -0.01
S: 0.250 0.373 0.568  -0.02
S: 0.250 0.510 0.106  -0.02
S: 0.250 0.873 0.932  -0.02
Nd: 0.250 0.133 0.206  0.02
Nd: 0.750 0.367 0.706  0.02
Nd: 0.750 0.867 0.794  0.02
Nd: 0.250 0.633 0.294  0.02

Properties
* crystal system: orthorhombic
* relative energy among the computed polymorphs: 0.00 eV per formula unit
* formation energy from raw total energies: -2.04 eV per atom
* total energy: -133.1 eV for the cell shown

---

# 11
Density functional theory data (PBE) for crystalline Ti6HN2 at its relaxed geometry.

a = 4.783 Å, b = 5.193 Å, c = 5.193 Å
α = 120.00°, β = 90.00°, γ = 90.00°
Sites, in units of the cell vectors:
Ti: 0.755 0.653 0.653
Ti: 0.245 0.347 0.347
Ti: 0.245 0.653 0.000
Ti: 0.245 0.000 0.653
Ti: 0.755 0.000 0.347
Ti: 0.755 0.347 0.000
N: 0.500 0.667 0.333
N: 0.500 0.333 0.667
H: 0.500 0.000 0.000

Properties
* crystal system: trigonal
* relative energy among the computed polymorphs: 0.00 eV per formula unit
* total energy: -75.7 eV for the cell shown

---

# 12
Density functional theory data (PBE) for crystalline Mg2CrGa2 at its relaxed geometry.

a = 6.578 Å, b = 6.578 Å, c = 4.107 Å
α = 90.00°, β = 90.00°, γ = 90.00°
Last column: magnetic moment on the atom in μB.
Sites, in units of the cell vectors:
Mg: 0.675 0.825 0.500  0.01
Mg: 0.825 0.325 0.500  0.01
Mg: 0.325 0.175 0.500  0.01
Mg: 0.175 0.675 0.500  0.01
Ga: 0.858 0.642 0.000  0.02
Ga: 0.142 0.358 0.000  0.02
Ga: 0.358 0.858 0.000  0.02
Ga: 0.642 0.142 0.000  0.02
Cr: 0.000 0.000 0.000  -0.25
Cr: 0.500 0.500 0.000  -0.25

Properties
* crystal system: tetragonal
* energy relative to the elements: 0.24 eV/atom
* total energy: -35.3 eV for the cell shown